Below is an optimized crystal structure of MnF3, with properties calculated at the GGA+U level.

Unit cell a=5.5821 b=8.9214 c=4.9164 alpha=90.00 beta=90.73 gamma=90.00
Closest atoms and distances in Å follow each position.
Space group C2/m (No. 12)
Symmetry-distinct sites (fractional):
Mn  0.0000  0.1691  0.0000  4 F 1.86-1.95
F  0.1191  0.0000  0.2123  2 Mn 1.95
F  0.1618  0.3113  0.2111  1 Mn 1.86

Calculated values
Total DFT energy (no corrections)   -90.0 eV for the cell shown
Crystal system   monoclinic